(1)
Material: Zr5Tl
Method: DFT, GGA-PBEsol
State: relaxed

DFT total energy (eV per atom): -8.056
Offset from the most stable computed form (eV/atom): 0.052
N(E_F) (states/eV per cell): 4.63
Energy relative to the elements (eV/atom): -0.043

The structure in CIF format:
```
data_Zr5Tl
_symmetry_space_group_name_H-M 'P -6 2 m'
_symmetry_Int_Tables_number 189
_symmetry_space_group_name_Hall 'P -6 -2'
_cell_length_a 5.4501
_cell_length_b 5.4501
_cell_length_c 5.1616
_cell_angle_alpha 90.00
_cell_angle_beta 90.00
_cell_angle_gamma 120.00
loop_
_atom_site_label
_atom_site_type_symbol
_atom_site_fract_x
_atom_site_fract_y
_atom_site_fract_z
Zr1 Zr 0.0000 0.6741 0.0000
Zr2 Zr 0.3333 0.6667 0.5000
Tl1 Tl 0.0000 0.0000 0.5000
```


(2)
Material: Zr5Tl
Method: DFT, GGA-PBEsol
State: relaxed

DFT total energy (eV per atom): -8.057
Offset from the most stable computed form (eV/atom): 0.051
N(E_F) (states/eV per cell): 11.67
Energy relative to the elements (eV/atom): -0.043

The structure in CIF format:
```
data_Zr5Tl
_symmetry_space_group_name_H-M 'C 1 m 1'
_symmetry_Int_Tables_number 8
_cell_length_a 11.560
_cell_length_b 3.140
_cell_length_c 7.594
_cell_angle_alpha 90.00
_cell_angle_beta 105.36
_cell_angle_gamma 90.00
loop_
_symmetry_equiv_pos_as_xyz
'x,y,z'
'x,-y,z'
'x+1/2,y+1/2,z'
'x+1/2,-y+1/2,z'
loop_
_atom_site_label
_atom_site_type_symbol
_atom_site_fract_x
_atom_site_fract_y
_atom_site_fract_z
Zr1 Zr 0.000 0.000 0.000
Zr2 Zr 0.041 0.000 0.630
Zr3 Zr 0.150 0.500 0.339
Zr4 Zr 0.314 0.000 0.663
Zr5 Zr 0.383 0.000 0.290
Tl1 Tl 0.225 0.500 0.962
```